Below is TlAs2W at its PBEsol-relaxed geometry, with properties calculated at the meta-GGA SCAN level.

For the offset from the most stable computed form, the calculation gives 0.000 eV/atom. The value obtained for the calculated volume is 18.31 Å³/atom.

It has space group I4/mmm (No. 139), with a = 4.516 Å, b = 4.516 Å, c = 7.180 Å, α = 90.00°, β = 90.00° and γ = 90.00°. The asymmetric unit holds Tl at (0.000, 0.000, 0.000), As at (0.000, 0.500, 0.250) and W at (0.000, 0.000, 0.500).

Below is TlAsW at its PBEsol-relaxed geometry, with properties calculated at the meta-GGA SCAN level.

The value obtained for the calculated volume is 19.23 Å³/atom.

It has space group P3m1 (No. 156), with a = 3.1676 Å, b = 3.1676 Å, c = 6.6387 Å, α = 90.00°, β = 90.00° and γ = 120.00°. The asymmetric unit holds Tl at (0.0000, 0.0000, 0.0000), As at (0.6667, 0.3333, 0.3889) and W at (0.3333, 0.6667, 0.6448).

Below is TlAs2W at its PBEsol-relaxed geometry, with properties calculated at the meta-GGA SCAN level.

For the offset from the most stable computed form, the calculation gives 0.039 eV/atom. The value obtained for the calculated volume is 18.32 Å³/atom.

It has space group Cmmm (No. 65), with a = 5.764 Å, b = 7.543 Å, c = 3.370 Å, α = 90.00°, β = 90.00° and γ = 90.00°. The asymmetric unit holds Tl at (0.000, 0.000, 0.000), As at (0.250, 0.250, 0.500) and W at (0.000, 0.500, 0.000).

Below is YTlAs3 at its PBEsol-relaxed geometry, with properties calculated at the meta-GGA SCAN level.

The value obtained for the calculated volume is 30.80 Å³/atom.

It has space group Pm-3m (No. 221), with a = 5.360 Å, b = 5.360 Å, c = 5.360 Å, α = 90.00°, β = 90.00° and γ = 90.00°. The asymmetric unit holds Y at (0.000, 0.000, 0.000), Tl at (0.500, 0.500, 0.500) and As at (0.000, 0.000, 0.500).

Below is Y2TlAs at its PBEsol-relaxed geometry, with properties calculated at the meta-GGA SCAN level.

For the offset from the most stable computed form, the calculation gives 1.090 eV/atom. The value obtained for the calculated volume is 24.57 Å³/atom.

It has space group F-43m (No. 216), with a = 7.326 Å, b = 7.326 Å, c = 7.326 Å, α = 90.00°, β = 90.00° and γ = 90.00°. The asymmetric unit holds Y at (0.000, 0.000, 0.000), Y at (0.250, 0.250, 0.250), Tl at (0.000, 0.000, 0.500) and As at (0.250, 0.250, 0.750).

Below is Y2TlAs at its PBEsol-relaxed geometry, with properties calculated at the meta-GGA SCAN level.

For the offset from the most stable computed form, the calculation gives 0.000 eV/atom. The value obtained for the calculated volume is 26.21 Å³/atom.

It has space group R-3m (No. 166, hexagonal axes), with a = 3.9498 Å, b = 3.9498 Å, c = 23.2826 Å, α = 90.00°, β = 90.00° and γ = 120.00°. The asymmetric unit holds Y at (0.0000, 0.0000, 0.2376), Tl at (0.0000, 0.0000, 0.0000) and As at (0.0000, 0.0000, 0.5000).

Going through the records in order, we get final energy values of -44.729 -53.617 -44.690 -31.946 -37.104 -38.194 eV per atom.
Going through the records in order, we get E_form values of 0.878 0.462 0.917 0.209 -0.045 -1.135 eV/atom.